1.
A plane-wave DFT calculation with GGA-PBE was carried out for a relaxed ZnAuSe2 crystal.

Values from the calculation:
symmetry	I-4m2
uncorrected formation energy	0.05	eV/atom

a b c (Å): 8.8538 8.8538 8.8538
angles (deg): 156.28 156.28 33.80
Last column: nearest neighbours and their distance in Å.
Positions (direct):
Au 0.7500 0.2500 0.5000  4 Se 2.57
Se 0.0000 0.0000 0.0000  4 Zn 2.57
Se 0.2500 0.7500 0.5000  4 Au 2.57
Zn 0.5000 0.5000 0.0000  4 Se 2.57

=====

2.
A plane-wave DFT calculation with GGA-PBE was carried out for a relaxed LaYTl2 crystal.

Values from the calculation:
symmetry	I-42d

a b c (Å): 8.5825 8.5825 7.0243
angles (deg): 52.34 52.34 90.00
Last column: nearest neighbours and their distance in Å.
Positions (direct):
Y 0.5000 0.5000 0.0000  4 Tl 3.08
Y 0.2500 0.7500 0.5000  4 Tl 3.08
Tl 0.6102 0.1250 0.2500  2 Y 3.08, 2 La 3.25
Tl 0.1398 0.6250 0.2500  2 Y 3.08, 2 La 3.25
Tl 0.3750 0.3898 0.7500  2 Y 3.08, 2 La 3.25
Tl 0.8750 0.8602 0.7500  2 Y 3.08, 2 La 3.25
La 0.0000 0.0000 0.0000  4 Tl 3.25, 2 Y 3.54
La 0.7500 0.2500 0.5000  4 Tl 3.25, 2 Y 3.54

=====

3.
A plane-wave DFT calculation with GGA-PBE was carried out for a relaxed Cr2MoPt crystal.

Values from the calculation:
symmetry	Pmm2

a b c (Å): 2.6996 3.7503 5.4779
angles (deg): 90.00 90.00 90.00
Last column: nearest neighbours and their distance in Å.
Positions (direct):
Cr 0.0000 0.0000 0.0293  1 Mo 2.44, 6 Cr 2.57-2.70
Cr 0.5000 0.5000 0.2345  6 Cr 2.57-2.70, 1 Pt 2.59, 4 Mo 2.66
Mo 0.0000 0.0000 0.4750  5 Cr 2.44-2.66, 2 Mo 2.70
Pt 0.5000 0.5000 0.7612  6 Cr 2.59-2.89, 2 Pt 2.70, 4 Mo 2.79

=====

no.,electronic total energy (eV/atom)
1,-2.825
2,-4.143
3,-8.971